[1]
An optimized crystal structure of Al2TcPb. Source: the Alexandria database, functional PBE-GGA.

space group: P4mm (99)
calculated total energy: -20.97 eV/cell
V: 75.11 Å³/cell
E_form: 147 meV per atom

```
Al2TcPb
1.0
-2.818 -1.909 0.316
1.089 -2.027 -2.528
3.007 -3.729 4.285
Al Pb Tc
2 1 1
Direct
0.000 0.000 0.968
0.500 0.500 0.203
0.000 0.000 0.512
0.500 0.500 0.817
```

---

[2]
An optimized crystal structure of AlTc2Pb. Source: the Alexandria database, functional PBE-GGA.

space group: I-42d (122)
calculated total energy: -52.13 eV/cell
V: 158.34 Å³/cell
E_form: 529 meV per atom

```
AlTc2Pb
1.0
4.124 0.000 0.000
0.000 4.124 0.000
2.062 2.062 9.309
Al Tc Pb
2 4 2
Direct
0.500 0.500 0.000
0.250 0.750 0.500
0.875 0.779 0.750
0.221 0.625 0.250
0.375 0.471 0.750
0.529 0.125 0.250
0.000 0.000 0.000
0.750 0.250 0.500
```

---

[3]
An optimized crystal structure of Al2TcPb. Source: the Alexandria database, functional PBE-GGA.

space group: Imm2 (44)
calculated total energy: -20.41 eV/cell
V: 71.79 Å³/cell
E_form: 287 meV per atom

```
Al2TcPb
1.0
-3.818 -0.129 -3.669
-4.863 -0.291 2.081
4.359 3.010 -0.044
Tc Al Pb
1 2 1
Direct
0.232 0.732 0.500
0.761 0.261 0.500
0.010 0.010 0.000
0.496 0.496 0.000
```

---

[4]
An optimized crystal structure of Al2TcPb. Source: the Alexandria database, functional PBE-GGA.

space group: Cm (8)
calculated total energy: -20.74 eV/cell
V: 75.81 Å³/cell
E_form: 205 meV per atom

```
Al2TcPb
1.0
-0.181 3.476 3.244
-2.101 0.638 4.221
3.525 -1.242 3.322
Al Pb Tc
2 1 1
Direct
0.737 0.737 0.806
0.991 0.991 0.042
0.505 0.505 0.501
0.267 0.267 0.150
```

---

[5]
An optimized crystal structure of Al2TcPb. Source: the Alexandria database, functional PBE-GGA.

space group: F-43m (216)
calculated total energy: -19.52 eV/cell
V: 73.03 Å³/cell
E_form: 509 meV per atom

```
Al2TcPb
1.0
-3.359 2.084 -2.527
-4.243 0.711 1.871
-1.390 4.350 1.078
Al Tc Pb
2 1 1
Direct
0.000 0.000 0.000
0.250 0.250 0.250
0.750 0.750 0.750
0.500 0.500 0.500
```

---

[6]
An optimized crystal structure of AlTc4Pb. Source: the Alexandria database, functional PBE-GGA.

space group: F-43m (216)
calculated total energy: -46.17 eV/cell
V: 101.99 Å³/cell
E_form: 458 meV per atom

```
AlTc4Pb
1.0
0.000 3.708 3.708
3.708 0.000 3.708
3.708 3.708 0.000
Tc Al Pb
4 1 1
Direct
0.375 0.375 0.375
0.874 0.375 0.375
0.375 0.375 0.874
0.375 0.874 0.375
0.750 0.750 0.750
0.000 0.000 0.000
```

---

[7]
An optimized crystal structure of AlTc2Pb. Source: the Alexandria database, functional PBE-GGA.

space group: C2/m (12)
calculated total energy: -26.20 eV/cell
V: 69.19 Å³/cell
E_form: 496 meV per atom

```
AlTc2Pb
1.0
-5.187 0.609 0.842
1.547 -2.468 -4.345
-0.556 -2.914 0.589
Al Pb Tc
1 1 2
Direct
0.000 0.500 0.500
0.500 0.500 0.000
0.000 0.000 0.000
0.500 0.000 0.500
```

---

[8]
An optimized crystal structure of Al2TcPb. Source: the Alexandria database, functional PBE-GGA.

space group: P4/mmm (123)
calculated total energy: -21.70 eV/cell
V: 76.20 Å³/cell
E_form: -34 meV per atom

```
Al2TcPb
1.0
3.229 0.000 0.000
0.000 3.229 0.000
0.000 0.000 7.310
Al Pb Tc
2 1 1
Direct
0.000 0.000 0.926
0.000 0.000 0.574
0.500 0.500 0.250
0.500 0.500 0.750
```

---

[9]
An optimized crystal structure of Al2TcPb. Source: the Alexandria database, functional PBE-GGA.

space group: C2/m (12)
calculated total energy: -20.61 eV/cell
V: 74.68 Å³/cell
E_form: 236 meV per atom

```
Al2TcPb
1.0
-3.482 1.658 2.858
-4.428 -1.247 1.368
0.790 -2.475 4.326
Al Tc Pb
2 1 1
Direct
0.522 0.522 0.434
0.978 0.978 0.066
0.250 0.250 0.250
0.750 0.750 0.750
```

---

[10]
An optimized crystal structure of AlTc2Pb. Source: the Alexandria database, functional PBE-GGA.

space group: R-3m (166)
calculated total energy: -26.40 eV/cell
V: 68.80 Å³/cell
E_form: 445 meV per atom

```
AlTc2Pb
1.0
-3.270 0.071 -8.068
-3.455 -2.911 -7.442
-5.669 -1.019 -6.528
Al Pb Tc
1 1 2
Direct
0.250 0.250 0.250
0.750 0.750 0.750
0.995 0.995 0.995
0.505 0.505 0.505
```

---

[11]
An optimized crystal structure of AlTc2Pb. Source: the Alexandria database, functional PBE-GGA.

space group: P4/mmm (123)
calculated total energy: -27.07 eV/cell
V: 67.60 Å³/cell
E_form: 279 meV per atom

```
AlTc2Pb
1.0
3.228 0.000 0.000
0.000 3.228 0.000
0.000 0.000 6.487
Tc Al Pb
2 1 1
Direct
0.000 0.000 0.454
0.000 0.000 0.046
0.500 0.500 0.250
0.500 0.500 0.750
```

---

[12]
An optimized crystal structure of AlTc2Pb. Source: the Alexandria database, functional PBE-GGA.

space group: Pmmm (47)
calculated total energy: -26.19 eV/cell
V: 68.96 Å³/cell
E_form: 498 meV per atom

```
AlTc2Pb
1.0
3.211 0.000 0.000
0.000 4.964 0.000
0.000 0.000 4.327
Pb Tc Al
1 2 1
Direct
0.000 0.500 0.500
0.000 0.000 0.000
0.500 0.500 0.000
0.500 0.000 0.500
```